Arrangement 1

VASP calculation (PBE) on a relaxed structure of Sr2CdBr6.

Structure (POSCAR):
```
Sr2CdBr6
1.0
-3.452 3.766 -4.801
-0.708 -5.726 -3.983
-11.703 -2.851 6.177
Br Sr Cd
12 4 2
direct
0.690 0.690 0.655 Br
0.690 0.690 0.345 Br
0.810 0.190 0.845 Br
0.310 0.310 0.345 Br
0.790 0.210 0.500 Br
0.290 0.290 0.000 Br
0.310 0.310 0.655 Br
0.810 0.190 0.155 Br
0.190 0.810 0.155 Br
0.210 0.790 0.500 Br
0.710 0.710 0.000 Br
0.190 0.810 0.845 Br
0.500 0.500 0.166 Sr
0.000 0.000 0.334 Sr
0.500 0.500 0.834 Sr
0.000 0.000 0.666 Sr
0.000 0.000 0.000 Cd
0.500 0.500 0.500 Cd
```


Arrangement 2

VASP calculation (PBE) on a relaxed structure of Sr2CdBr6.

Structure (POSCAR):
```
Sr2CdBr6
1.0
7.816 0.000 0.000
0.000 7.125 -1.098
0.000 0.651 10.613
Br Cd Sr
12 2 4
direct
0.310 0.175 0.422 Br
0.190 0.675 0.922 Br
0.949 0.847 0.257 Br
0.449 0.653 0.243 Br
0.683 0.816 0.943 Br
0.817 0.316 0.443 Br
0.051 0.153 0.743 Br
0.183 0.684 0.557 Br
0.551 0.347 0.757 Br
0.690 0.825 0.578 Br
0.810 0.325 0.078 Br
0.317 0.184 0.057 Br
0.500 0.500 0.000 Cd
0.000 0.000 0.500 Cd
0.103 0.450 0.267 Sr
0.897 0.550 0.733 Sr
0.603 0.050 0.233 Sr
0.397 0.950 0.767 Sr
```


Which of them is the most stable? Correct choice: arrangement 2.